#one
Density functional theory data (GGA-PBE) for a relaxed PmHoS crystal.

POSCAR file:
```
PmHoS
1.0
4.9357 0.0000 0.0000
2.4678 4.2744 0.0000
2.4678 1.4248 7.1283
S Pm Ho
2 2 2
Cartesian
2.4678 1.4248 1.8386 S
7.4035 4.2744 5.2897 S
4.9357 2.8496 6.1714 Pm
4.9357 2.8496 0.9570 Pm
7.4035 4.2744 2.6239 Ho
2.4678 1.4248 4.5044 Ho
```

Results
For the theoretical density, the calculation gives 7.55 g cm⁻³.

=====

#two
Density functional theory data (GGA-PBE) for a relaxed PmHoS crystal.

POSCAR file:
```
PmHoS
1.0
6.4275 0.0000 0.0000
0.0000 3.8244 0.0000
0.0000 -1.9122 3.3120
Ho Pm S
1 1 1
Cartesian
0.4870 0.0000 0.0000 Ho
3.8520 1.9122 1.1040 Pm
2.0886 0.0000 2.2080 S
```

Results
For the theoretical density, the calculation gives 6.98 g cm⁻³.

=====

#one is the least stable structure shown above.